1.
# Ba2IrRu

A PBEsol-optimized structure of Ba2IrRu (meta-GGA SCAN, the Alexandria database).

```
Ba2IrRu
1.0
4.380 0.000 0.000
0.000 2.469 5.526
0.000 -2.469 5.526
Ba Ir Ru
2 1 1
Cartesian
0.000 0.000 0.000
2.190 0.000 3.219
0.000 0.000 7.624
2.190 0.000 6.725
```

Total magnetization: 0.00 Bohr magnetons per cell
Energy: -185.06 eV per cell
Energy of formation from the pure elements: -9 meV per atom
Space group: Amm2


2.
# ReSi4Mo

A PBEsol-optimized structure of ReSi4Mo (meta-GGA SCAN, the Alexandria database).

```
ReSi4Mo
1.0
0.000 3.373 3.373
3.373 0.000 3.373
3.373 3.373 0.000
Re Si Mo
1 4 1
Cartesian
0.000 0.000 0.000
2.531 2.531 2.531
4.214 4.214 2.531
4.214 2.531 4.214
2.531 4.214 4.214
5.059 5.059 5.059
```

Formation energy (no corrections): 3.49 eV/f.u.
Total magnetization: 0.00 Bohr magnetons per cell
Energy: -142.55 eV per cell
Space group: F-43m


3.
# Ca2ScIn

A PBEsol-optimized structure of Ca2ScIn (meta-GGA SCAN, the Alexandria database).

```
Ca2ScIn
1.0
1.792 1.034 10.907
-1.792 1.034 10.907
0.000 -2.069 10.907
Ca Sc In
2 1 1
Cartesian
0.000 0.000 0.000
0.000 0.000 7.629
0.000 0.000 15.633
0.000 0.000 24.311
```

Total magnetization: 0.55 Bohr magnetons per cell
Energy: -67.26 eV per cell
Energy of formation from the pure elements: -79 meV per atom
Space group: R3m